The following is a DFT calculation (PBE) of a relaxed structure of Te2RuBrN.

a b c (Å): 5.5659 5.5659 3.6071
angles (deg): 90.00 90.00 90.00
Last column: magnetic moment on the atom in μB.
Element x y z (fractional)
Te1 0.5000 0.0000 0.0000  -0.03
Ru1 0.5000 0.5000 0.5000  1.63
Te2 0.0000 0.5000 0.0000  -0.03
Br1 0.0000 0.0000 0.0000  0.00
N1 0.0000 0.0000 0.5000  0.07

## Properties
ΔE_f (raw)	1.82	eV/atom
polymorph energy (0 for the lowest one)	1.455	eV per atom
calculated total energy	-3.288	eV/atom
ρ	6.690	Mg/m³
space-group type	P4/mmm, No. 123

***

The following is a DFT calculation (PBE) of a relaxed structure of Sc3Ge2.

a b c (Å): 4.1661 5.4561 5.4561
angles (deg): 67.02 67.56 67.56
Element x y z (fractional)
Sc1 0.1957 0.3043 0.3043
Sc2 0.8043 0.6957 0.6957
Sc3 0.0000 0.0000 0.0000
Ge1 0.5000 0.2862 0.7138
Ge2 0.5000 0.7138 0.2862

## Properties
calculated total energy	-6.345	eV/atom
ρ	4.583	Mg/m³
ΔE_f	-0.70	eV/atom
space-group type	Immm, No. 71